Computed, not measured: a geometry-optimized Tb5MgRh4 structure at the GGA-PBE level of DFT.

The structure in POSCAR format:
```
Tb5MgRh4
1.0
-0.3213 -3.1630 1.4431
3.3737 0.0665 0.8968
-4.3106 7.5800 15.6543
Mg Tb Rh
1 5 4
Direct
0.0000 0.0000 0.0000 Mg
0.5000 0.5000 0.1245 Tb
0.5000 0.5000 0.8755 Tb
0.5000 0.5000 0.5000 Tb
0.5000 0.5000 0.6892 Tb
0.5000 0.5000 0.3108 Tb
0.0000 0.0000 0.4050 Rh
0.0000 0.0000 0.2127 Rh
0.0000 0.0000 0.7873 Rh
0.0000 0.0000 0.5950 Rh
```

Calculated values
- energy of formation from the pure elements (meV per atom) = -696
- total DFT energy (no corrections) (eV per atom) = -6.111

=====

Computed, not measured: a geometry-optimized La2BiO structure at the GGA-PBE level of DFT.

The structure in POSCAR format:
```
La2BiO
1.0
6.6784 0.0000 0.0000
0.0000 6.6650 -0.1001
0.0000 -1.1630 11.0641
La Bi O
8 4 4
Direct
0.7793 0.9845 0.9125 La
0.2207 0.4845 0.4125 La
0.7793 0.5155 0.5875 La
0.1994 0.5492 0.8389 La
0.8006 0.4508 0.1611 La
0.8006 0.0492 0.3389 La
0.2207 0.0155 0.0875 La
0.1994 0.9508 0.6611 La
0.2915 0.9881 0.3751 Bi
0.7085 0.4881 0.8751 Bi
0.2915 0.5119 0.1249 Bi
0.7085 0.0119 0.6249 Bi
0.1227 0.6075 0.6192 O
0.8773 0.3925 0.3808 O
0.8773 0.1075 0.1192 O
0.1227 0.8925 0.8808 O
```

Calculated values
- uncorrected formation energy (eV per atom) = -1.742
- energy above the most stable polymorph in this dataset (meV per atom) = 81
- total DFT energy (no corrections) (eV per atom) = -6.415

=====

Computed, not measured: a geometry-optimized La7PrTm3 structure at the GGA-PBE level of DFT.

The structure in POSCAR format:
```
La7PrTm3
1.0
-1.3343 6.0514 2.7486
-0.3988 -5.0738 7.3205
6.1454 1.0028 2.3036
Pr Tm La
1 3 7
Direct
0.5000 0.5000 0.5000 Pr
0.9239 0.8379 0.1842 Tm
0.0761 0.1621 0.8158 Tm
0.5000 0.0000 0.0000 Tm
0.2210 0.2082 0.2863 La
0.0000 0.5000 0.5000 La
0.7077 0.1430 0.4557 La
0.2620 0.5918 0.9810 La
0.2923 0.8570 0.5443 La
0.7380 0.4082 0.0190 La
0.7790 0.7918 0.7137 La
```

Calculated values
- energy of formation from the pure elements (meV per atom) = 128
- energy above the most stable polymorph in this dataset (meV per atom) = 0
- total DFT energy (no corrections) (eV per atom) = -4.661

=====

- Which formula does entry 1 have?
  Tb5MgRh4